This record from Alexandria describes a relaxed Na4Ni2C4SO16 crystal. The functional is PBE with a Hubbard U.

Electronic total energy   -337.972 eV per cell
Symmetry   No. 70
Magnetization   0.23 μB per atom
Crystal system   orthorhombic

a b c (Å): 9.783 9.783 10.026
angles (deg): 119.25 119.25 89.92
Site moments in Bohr magnetons follow the coordinates.
Atoms (fractional coordinates):
S 0.750 0.250 0.500  -0.01
S 0.500 0.500 0.000  -0.01
Na 0.536 0.464 0.500  0.00
Na 0.285 0.285 0.000  0.00
Na 0.964 0.036 0.500  0.00
Na 0.286 0.714 0.000  0.00
Na 0.965 0.465 0.500  0.00
Na 0.535 0.035 0.500  0.00
Na 0.714 0.286 0.000  0.00
Na 0.715 0.715 0.000  0.00
O 0.226 0.681 0.710  0.12
O 0.683 0.308 0.617  0.11
O 0.942 0.720 0.709  0.17
O 0.769 0.059 0.032  0.15
O 0.691 0.066 0.383  0.11
O 0.309 0.519 0.532  0.15
O 0.970 0.692 0.209  0.17
O 0.484 0.761 0.791  0.17
O 0.280 0.058 0.291  0.17
O 0.941 0.231 0.968  0.15
O 0.987 0.778 0.468  0.15
O 0.319 0.774 0.290  0.12
O 0.024 0.069 0.790  0.12
O 0.481 0.691 0.468  0.15
O 0.567 0.442 0.883  0.11
O 0.280 0.234 0.210  0.12
O 0.558 0.433 0.117  0.11
O 0.484 0.030 0.710  0.12
O 0.239 0.516 0.209  0.17
O 0.222 0.013 0.532  0.15
O 0.692 0.317 0.383  0.11
O 0.970 0.516 0.290  0.12
O 0.559 0.684 0.117  0.11
O 0.316 0.441 0.883  0.11
O 0.931 0.976 0.210  0.12
O 0.934 0.309 0.617  0.11
O 0.028 0.737 0.968  0.15
O 0.011 0.234 0.291  0.17
O 0.766 0.989 0.709  0.17
O 0.263 0.972 0.032  0.15
O 0.308 0.030 0.791  0.17
O 0.766 0.720 0.790  0.12
Ni 0.125 0.375 0.250  1.83
Ni 0.125 0.875 0.250  1.83
Ni 0.125 0.875 0.750  1.83
Ni 0.625 0.875 0.750  1.83
C 0.913 0.729 0.824  0.00
C 0.912 0.096 0.824  0.00
C 0.338 0.654 0.676  0.00
C 0.337 0.021 0.676  0.00
C 0.904 0.088 0.176  0.00
C 0.271 0.087 0.176  0.00
C 0.346 0.662 0.324  0.00
C 0.979 0.663 0.324  0.00